(1)
! Mn3V4Rh (PBE, relaxed); values from VASP
! VASP energy in eV per cell: -146.405
! Energy relative to the elements in meV/atom: -234
! SG: No. 123
! Total magnetic moment in μB/atom: 0.000
&SYSTEM
  ibrav = 0, nat = 16, ntyp = 3
/
ATOMIC_SPECIES
Mn 54.94 Mn.upf
Rh 102.91 Rh.upf
V 50.94 V.upf
CELL_PARAMETERS angstrom
-2.7137 3.0107 0.6602
-3.6249 -3.8346 2.5869
3.5125 1.5749 7.2564
ATOMIC_POSITIONS crystal
Mn 0.0000 0.0000 0.0000
Mn 0.0000 0.0000 0.5000
Mn 0.4999 0.0000 0.7500
Mn 0.5001 0.0000 0.2500
Mn 0.4999 0.5000 0.7500
Mn 0.5001 0.5000 0.2500
Rh 0.0000 0.5000 0.0000
Rh 0.0000 0.5000 0.5000
V 0.5000 0.7628 0.0000
V 0.5000 0.7628 0.5000
V 0.5000 0.2372 0.0000
V 0.5000 0.2372 0.5000
V 0.9999 0.7628 0.7500
V 0.0001 0.7628 0.2500
V 0.0001 0.2372 0.2500
V 0.9999 0.2372 0.7500


(2)
! MnVRh4 (PBE, relaxed); values from VASP
! VASP energy in eV per cell: -47.424
! Energy relative to the elements in meV/atom: 45
! SG: No. 123
! Energy relative to the lowest polymorph listed for this composition in eV/f.u.: 1.55
! Total magnetic moment in μB/atom: 0.364
&SYSTEM
  ibrav = 0, nat = 6, ntyp = 3
/
ATOMIC_SPECIES
Mn 54.94 Mn.upf
V 50.94 V.upf
Rh 102.91 Rh.upf
CELL_PARAMETERS angstrom
4.0434 0.0001 -0.0013
-0.0001 4.0437 -0.0022
0.0028 0.0038 5.7190
ATOMIC_POSITIONS crystal
Mn 0.5013 0.4973 0.9982
V 0.0013 0.9974 0.4981
Rh 0.5013 0.9972 0.2489
Rh 0.5013 0.9973 0.7473
Rh 0.0013 0.4973 0.7473
Rh 0.0013 0.4973 0.2489


(3)
! MnV4Rh (PBE, relaxed); values from VASP
! VASP energy in eV per cell: -51.109
! Energy relative to the elements in meV/atom: 314
! SG: No. 12
! Total magnetic moment in μB/atom: 0.000
&SYSTEM
  ibrav = 0, nat = 6, ntyp = 3
/
ATOMIC_SPECIES
Mn 54.94 Mn.upf
V 50.94 V.upf
Rh 102.91 Rh.upf
CELL_PARAMETERS angstrom
4.2157 0.0000 0.0000
2.1079 3.3504 0.1145
2.1079 0.5836 6.5239
ATOMIC_POSITIONS crystal
Mn 0.0000 0.0000 0.0000
V 0.6310 0.6329 0.1051
V 0.3690 0.3671 0.8949
V 0.1010 0.1435 0.6545
V 0.8990 0.8565 0.3455
Rh 0.5000 0.5000 0.5000


(4)
! MnV2Rh (PBE, relaxed); values from VASP
! VASP energy in eV per cell: -71.442
! Energy relative to the elements in meV/atom: -241
! SG: No. 51
! Total magnetic moment in μB/atom: 0.000
&SYSTEM
  ibrav = 0, nat = 8, ntyp = 3
/
ATOMIC_SPECIES
Mn 54.94 Mn.upf
V 50.94 V.upf
Rh 102.91 Rh.upf
CELL_PARAMETERS angstrom
-2.5833 1.1752 -0.2156
-0.0326 -0.8387 -4.1809
-3.5655 -7.5541 1.5431
ATOMIC_POSITIONS crystal
Mn 0.5000 0.2500 0.8876
Mn 0.5000 0.7500 0.1124
V 0.0000 0.2500 0.1191
V 0.0000 0.7500 0.8809
V 0.0000 0.2500 0.6628
V 0.0000 0.7500 0.3372
Rh 0.5000 0.2500 0.3924
Rh 0.5000 0.7500 0.6076


(5)
! MnVRh (PBE, relaxed); values from VASP
! VASP energy in eV per cell: -51.068
! Energy relative to the elements in meV/atom: 35
! SG: No. 59
! Energy relative to the lowest polymorph listed for this composition in eV/f.u.: 0.66
! Total magnetic moment in μB/atom: 0.736
&SYSTEM
  ibrav = 0, nat = 6, ntyp = 3
/
ATOMIC_SPECIES
V 50.94 V.upf
Mn 54.94 Mn.upf
Rh 102.91 Rh.upf
CELL_PARAMETERS angstrom
4.4059 0.0000 0.0000
0.0000 2.7066 0.0000
0.0000 0.0000 7.0164
ATOMIC_POSITIONS crystal
V 0.5000 0.0000 0.7508
V 0.0000 0.5000 0.2492
Mn 0.0000 0.0000 0.5471
Mn 0.5000 0.5000 0.4529
Rh 0.5000 0.5000 0.0788
Rh 0.0000 0.0000 0.9212


(6)
! MnV2Rh4 (PBE, relaxed); values from VASP
! VASP energy in eV per cell: -57.613
! Energy relative to the elements in meV/atom: -114
! SG: No. 65
! Energy relative to the lowest polymorph listed for this composition in eV/f.u.: 1.01
! Total magnetic moment in μB/atom: 0.387
&SYSTEM
  ibrav = 0, nat = 7, ntyp = 3
/
ATOMIC_SPECIES
Mn 54.94 Mn.upf
V 50.94 V.upf
Rh 102.91 Rh.upf
CELL_PARAMETERS angstrom
-1.1289 0.1896 -3.7124
3.1648 -3.9365 -1.1634
-4.4008 -2.4551 1.2128
ATOMIC_POSITIONS crystal
Mn 0.5000 0.5000 0.5000
V 0.0000 0.7367 0.2633
V 0.0000 0.2633 0.7367
Rh 0.0000 0.7828 0.7828
Rh 0.0000 0.2172 0.2172
Rh 0.5000 0.0000 0.5000
Rh 0.5000 0.5000 0.0000


(7)
! MnVRhW (PBE, relaxed); values from VASP
! VASP energy in eV per cell: -38.860
! Energy relative to the elements in meV/atom: -67
! SG: No. 216
! Total magnetic moment in μB/atom: 0.728
&SYSTEM
  ibrav = 0, nat = 4, ntyp = 4
/
ATOMIC_SPECIES
Mn 54.94 Mn.upf
Rh 102.91 Rh.upf
W 183.84 W.upf
V 50.94 V.upf
CELL_PARAMETERS angstrom
4.2953 0.0000 0.0000
2.1477 3.7199 0.0000
2.1477 1.2400 3.5071
ATOMIC_POSITIONS crystal
Mn 0.7500 0.7500 0.7500
Rh 0.5000 0.5000 0.5000
W 0.0000 0.0000 0.0000
V 0.2500 0.2500 0.2500


(8)
! Mn2V2ZnRh5 (PBE, relaxed); values from VASP
! VASP energy in eV per cell: -151.337
! Energy relative to the elements in meV/atom: -106
! SG: No. 127
! Total magnetic moment in μB/atom: 0.637
&SYSTEM
  ibrav = 0, nat = 20, ntyp = 4
/
ATOMIC_SPECIES
Mn 54.94 Mn.upf
V 50.94 V.upf
Zn 65.41 Zn.upf
Rh 102.91 Rh.upf
CELL_PARAMETERS angstrom
3.6938 0.0000 0.0000
0.0000 8.9549 0.0000
0.0000 0.0000 8.9549
ATOMIC_POSITIONS crystal
Mn 0.0000 0.6669 0.1669
Mn 0.0000 0.3331 0.8331
Mn 0.0000 0.1669 0.3331
Mn 0.0000 0.8331 0.6669
V 0.0000 0.1327 0.6327
V 0.0000 0.8673 0.3673
V 0.0000 0.6327 0.8673
V 0.0000 0.3673 0.1327
Zn 0.0000 0.0000 0.0000
Zn 0.0000 0.5000 0.5000
Rh 0.5000 0.2000 0.0748
Rh 0.5000 0.8000 0.9252
Rh 0.5000 0.0748 0.8000
Rh 0.5000 0.7000 0.4252
Rh 0.5000 0.9252 0.2000
Rh 0.5000 0.3000 0.5748
Rh 0.5000 0.5748 0.7000
Rh 0.5000 0.4252 0.3000
Rh 0.5000 0.5000 0.0000
Rh 0.5000 0.0000 0.5000


(9)
! MnVZnRh2 (PBE, relaxed); values from VASP
! VASP energy in eV per cell: -28.933
! Energy relative to the elements in meV/atom: 1066
! SG: No. 123
! Total magnetic moment in μB/atom: 0.017
&SYSTEM
  ibrav = 0, nat = 5, ntyp = 4
/
ATOMIC_SPECIES
Zn 65.41 Zn.upf
Mn 54.94 Mn.upf
Rh 102.91 Rh.upf
V 50.94 V.upf
CELL_PARAMETERS angstrom
4.3898 0.0000 0.0000
0.0000 4.4536 0.0000
0.0000 0.0000 4.3898
ATOMIC_POSITIONS crystal
Zn 0.0000 0.5000 0.0000
Mn 0.0000 0.0000 0.0000
Rh 0.0000 0.0000 0.5000
Rh 0.5000 0.0000 0.0000
V 0.5000 0.5000 0.5000


(10)
! MnRh3W (PBE, relaxed); values from VASP
! VASP energy in eV per cell: -89.413
! Energy relative to the elements in meV/atom: -106
! SG: No. 2
! Energy relative to the lowest polymorph listed for this composition in eV/f.u.: 0.00
! Total magnetic moment in μB/atom: 0.535
&SYSTEM
  ibrav = 0, nat = 10, ntyp = 3
/
ATOMIC_SPECIES
Mn 54.94 Mn.upf
Rh 102.91 Rh.upf
W 183.84 W.upf
CELL_PARAMETERS angstrom
-4.2681 3.3841 0.4383
-2.7437 -0.6490 -3.7925
-1.4544 -4.5514 3.7620
ATOMIC_POSITIONS crystal
Mn 0.6018 0.4012 0.8023
Mn 0.3982 0.5988 0.1977
Rh 0.8996 0.5985 0.2043
Rh 0.7808 0.2081 0.4004
Rh 0.2192 0.7919 0.5996
Rh 0.1004 0.4015 0.7957
Rh 0.0000 0.0000 0.0000
Rh 0.5000 0.0000 0.0000
W 0.7139 0.7946 0.5960
W 0.2861 0.2054 0.4040